The following is a PBE calculation of YPC after structural relaxation, from the Alexandria database.

Unit cell a=3.7821 b=3.8503 c=7.8003 alpha=97.55 beta=102.10 gamma=95.94
With the nearest neighbours (Å) after each atom.
Element x y z (fractional)
Y 0.0000 0.0000 0.0000  4 C 2.57-2.75, 2 P 2.70-2.88
Y 0.4722 0.6119 0.4798  3 C 2.48-2.76, 2 P 2.73-2.75
P 0.0412 0.1491 0.6105  1 P 2.18
P 0.4076 0.4394 0.8515  1 P 2.18
C 0.6240 0.3277 0.1915  1 C 1.28
C 0.9143 0.5518 0.2394  1 C 1.28

Results
Offset from the most stable computed form in eV/atom: 0.057
DOS at the Fermi energy in states/eV/cell: 0.367
Theoretical density in kg/m³: 4015
Energy of formation from the pure elements in eV per atom: -0.445
Crystal system: triclinic